Record 1
The following is a PBE calculation of a relaxed SrCa2Sc crystal, from Alexandria via LeMat-Bulk.

It has space group P2/m (No. 10), with a = 3.6911 Å, b = 5.8313 Å, c = 7.2950 Å, α = 90.00°, β = 102.90° and γ = 90.00°. The distinct sites, in fractional coordinates, are Sr at (0.0000, 0.0000, 0.0000), Ca at (0.2718, 0.5000, 0.7284) and Sc at (0.5000, 0.0000, 0.5000).

The magnetic moment is 0.001 μB per formula unit. As for the offset from the most stable computed form: 59 meV/atom. As for the energy: -11.13 eV/f.u.

***

Record 2
The following is a PBE calculation of a relaxed SrCa4Sc crystal, from Alexandria via LeMat-Bulk.

It has space group F-43m (No. 216), with a = 10.0162 Å, b = 10.0162 Å, c = 10.0162 Å, α = 90.00°, β = 90.00° and γ = 90.00°. The distinct sites, in fractional coordinates, are Sr at (0.0000, 0.0000, 0.0000), Ca at (0.1240, 0.1240, 0.6240) and Sc at (0.2500, 0.2500, 0.2500).

The magnetic moment is 1.798 μB per formula unit. As for the energy: -14.24 eV/f.u.

***

Record 3
The following is a PBE calculation of a relaxed Sr2CaSc crystal, from Alexandria via LeMat-Bulk.

It has space group Fm-3m (No. 225), with a = 8.6803 Å, b = 8.6803 Å, c = 8.6803 Å, α = 90.00°, β = 90.00° and γ = 90.00°. The distinct sites, in fractional coordinates, are Sr at (0.2500, 0.2500, 0.2500), Ca at (0.0000, 0.0000, 0.0000) and Sc at (0.0000, 0.0000, 0.5000).

The magnetic moment is 0.000 μB per formula unit. As for the offset from the most stable computed form: 70 meV/atom. As for the energy: -10.68 eV/f.u.

***

Record 4
The following is a PBE calculation of a relaxed Sr2CaSc crystal, from Alexandria via LeMat-Bulk.

It has space group Immm (No. 71), with a = 4.2484 Å, b = 6.1996 Å, c = 12.3761 Å, α = 90.00°, β = 90.00° and γ = 90.00°. The distinct sites, in fractional coordinates, are Sr at (0.0000, 0.0000, 0.2341), Ca at (0.0000, 0.5000, 0.0000) and Sc at (0.0000, 0.5000, 0.5000).

The magnetic moment is 0.371 μB per formula unit. As for the offset from the most stable computed form: 69 meV/atom. As for the energy: -10.68 eV/f.u.

***

Record 5
The following is a PBE calculation of a relaxed Sr2Ca2Sc crystal, from Alexandria via LeMat-Bulk.

It has space group P4/mbm (No. 127), with a = 8.7493 Å, b = 8.7493 Å, c = 5.8392 Å, α = 90.00°, β = 90.00° and γ = 90.00°. The distinct sites, in fractional coordinates, are Sr at (0.1725, 0.3275, 0.0000), Ca at (0.1427, 0.6427, 0.5000) and Sc at (0.0000, 0.0000, 0.5000).

The magnetic moment is 1.211 μB per formula unit. As for the energy: -11.89 eV/f.u.

***

Record 6
The following is a PBE calculation of a relaxed Sr2CaSc crystal, from Alexandria via LeMat-Bulk.

It has space group Pm (No. 6), with a = 3.7607 Å, b = 6.0271 Å, c = 7.3360 Å, α = 90.00°, β = 101.54° and γ = 90.00°. The distinct sites, in fractional coordinates, are Sr at (0.0000, 0.0000, 0.0000), Sr at (0.2648, 0.5000, 0.7185), Ca at (0.7200, 0.5000, 0.2559) and Sc at (0.5118, 0.0000, 0.4857).

The magnetic moment is 0.000 μB per formula unit. As for the offset from the most stable computed form: 66 meV/atom. As for the energy: -10.69 eV/f.u.

***

Record 7
The following is a PBE calculation of a relaxed SrCa2Sc crystal, from Alexandria via LeMat-Bulk.

It has space group I4/mmm (No. 139), with a = 5.4190 Å, b = 5.4190 Å, c = 10.6300 Å, α = 90.00°, β = 90.00° and γ = 90.00°. The distinct sites, in fractional coordinates, are Sr at (0.0000, 0.0000, 0.0000), Ca at (0.0000, 0.5000, 0.2500) and Sc at (0.0000, 0.0000, 0.5000).

The magnetic moment is 0.940 μB per formula unit. As for the offset from the most stable computed form: 78 meV/atom. As for the energy: -11.06 eV/f.u.

***

Record 8
The following is a PBE calculation of a relaxed Sr2CaSc crystal, from Alexandria via LeMat-Bulk.

It has space group P4/mmm (No. 123), with a = 6.1201 Å, b = 6.1201 Å, c = 4.3544 Å, α = 90.00°, β = 90.00° and γ = 90.00°. The distinct sites, in fractional coordinates, are Sr at (0.0000, 0.5000, 0.0000), Ca at (0.0000, 0.0000, 0.5000) and Sc at (0.5000, 0.5000, 0.5000).

The magnetic moment is 0.000 μB per formula unit. As for the offset from the most stable computed form: 76 meV/atom. As for the energy: -10.65 eV/f.u.

***

Record 9
The following is a PBE calculation of a relaxed SrCa2Sc crystal, from Alexandria via LeMat-Bulk.

It has space group Imm2 (No. 44), with a = 4.0677 Å, b = 6.1731 Å, c = 12.2892 Å, α = 90.00°, β = 90.00° and γ = 90.00°. The distinct sites, in fractional coordinates, are Sr at (0.0000, 0.0000, 0.0000), Ca at (0.0000, 0.0000, 0.5294), Ca at (0.0000, 0.5000, 0.7693) and Sc at (0.0000, 0.5000, 0.2564).

The magnetic moment is 1.001 μB per formula unit. As for the offset from the most stable computed form: 60 meV/atom. As for the energy: -11.13 eV/f.u.

***

Record 10
The following is a PBE calculation of a relaxed SrCa2Sc crystal, from Alexandria via LeMat-Bulk.

It has space group Pm (No. 6), with a = 3.6566 Å, b = 5.8446 Å, c = 7.3702 Å, α = 90.00°, β = 103.73° and γ = 90.00°. The distinct sites, in fractional coordinates, are Sr at (0.0000, 0.0000, 0.0000), Ca at (0.4552, 0.0000, 0.5277), Ca at (0.7179, 0.5000, 0.2744) and Sc at (0.2334, 0.5000, 0.7556).

The magnetic moment is 0.001 μB per formula unit. As for the offset from the most stable computed form: 65 meV/atom. As for the energy: -11.11 eV/f.u.

***

Record 11
The following is a PBE calculation of a relaxed SrCa2Sc crystal, from Alexandria via LeMat-Bulk.

It has space group Cmm2 (No. 35), with a = 4.4474 Å, b = 5.8978 Å, c = 11.7170 Å, α = 90.00°, β = 90.00° and γ = 90.00°. The distinct sites, in fractional coordinates, are Sr at (0.0000, 0.0000, 0.0000), Ca at (0.0000, 0.0000, 0.5424), Ca at (0.0000, 0.5000, 0.2791) and Sc at (0.0000, 0.5000, 0.7629).

The magnetic moment is 0.009 μB per formula unit. As for the offset from the most stable computed form: 44 meV/atom. As for the energy: -11.20 eV/f.u.

***

Record 12
The following is a PBE calculation of a relaxed Sr2CaSc crystal, from Alexandria via LeMat-Bulk.

It has space group R-3m (No. 166, hexagonal axes), with a = 3.8779 Å, b = 3.8779 Å, c = 38.3013 Å, α = 90.00°, β = 90.00° and γ = 120.00°. The distinct sites, in fractional coordinates, are Sr at (0.0000, 0.0000, 0.2428), Ca at (0.0000, 0.0000, 0.0000) and Sc at (0.0000, 0.0000, 0.5000).

The magnetic moment is 1.415 μB per formula unit. As for the offset from the most stable computed form: 57 meV/atom. As for the energy: -10.73 eV/f.u.